The following is a DFT calculation (GGA-PBE) of an optimized crystal structure of Pr4RhSe2Cl.

POSCAR file:
```
Pr4RhSe2Cl
1.0
7.3665 0.0000 0.0000
0.0000 4.1331 0.0000
-2.4122 0.0000 7.0926
Pr Rh Se Cl
4 1 2 1
direct
0.2288 0.0000 0.2329
0.2400 0.5000 0.7479
0.7600 0.5000 0.2521
0.7712 0.0000 0.7671
0.0000 0.5000 0.0000
0.0000 0.0000 0.5000
0.5000 0.5000 0.5000
0.5000 0.0000 0.0000
```

Results
For the spin magnetization, the calculation gives 0.00 Bohr magnetons per cell. The formation energy (no corrections) comes out at -1.440 eV per atom. Its space-group type is No. 10.

---

The following is a DFT calculation (GGA-PBE) of an optimized crystal structure of Li4Cd.

POSCAR file:
```
Li4Cd
1.0
5.1182 0.0000 0.0000
0.0000 5.1182 0.0000
0.0000 0.0000 5.1182
Li Cd
4 1
direct
0.0000 0.0000 0.0000
0.0000 0.5000 0.5000
0.5000 0.0000 0.5000
0.5000 0.5000 0.0000
0.5000 0.5000 0.5000
```

Results
The energy above the lowest structure with this stoichiometry is 295 meV per atom. For the spin magnetization, the calculation gives 0.00 Bohr magnetons per cell. The formation energy comes out at 0.15 eV per atom. Its space-group type is No. 221.

---

The following is a DFT calculation (GGA-PBE) of an optimized crystal structure of BaTb2Sc.

POSCAR file:
```
BaTb2Sc
1.0
3.9007 0.0000 0.0000
0.0000 3.9007 0.0000
0.0000 0.0000 9.5252
Ba Tb Sc
1 2 1
direct
0.0000 0.0000 0.0000
0.5000 0.5000 0.3125
0.5000 0.5000 0.6875
0.0000 0.0000 0.5000
```

Results
The energy above the lowest structure with this stoichiometry is 0 meV per atom. For the spin magnetization, the calculation gives 0.00 Bohr magnetons per cell. The formation energy comes out at 0.15 eV per atom. Its space-group type is No. 123.

---

The following is a DFT calculation (GGA-PBE) of an optimized crystal structure of DyLuSi.

POSCAR file:
```
DyLuSi
1.0
0.0000 3.3815 3.3815
3.3815 0.0000 3.3815
3.3815 3.3815 0.0000
Dy Lu Si
1 1 1
direct
0.0000 0.0000 0.0000
0.5000 0.5000 0.5000
0.7500 0.7500 0.7500
```

Results
For the spin magnetization, the calculation gives 0.00 Bohr magnetons per cell. The formation energy (no corrections) comes out at -0.447 eV per atom. Its space-group type is No. 216.

---

The following is a DFT calculation (GGA-PBE) of an optimized crystal structure of BaTiSb2I.

POSCAR file:
```
BaTiSb2I
1.0
5.3059 0.0000 0.0000
0.0000 5.3059 0.0000
0.0000 0.0000 5.9645
Ba Ti Sb I
1 1 2 1
direct
0.0000 0.0000 0.0000
0.5000 0.5000 0.5000
0.0000 0.5000 0.5000
0.5000 0.0000 0.5000
0.5000 0.5000 0.0000
```

Results
The energy above the lowest structure with this stoichiometry is 0 meV per atom. For the spin magnetization, the calculation gives 0.00 Bohr magnetons per cell. The formation energy (no corrections) comes out at -0.623 eV per atom. Its space-group type is No. 123.

---

The following is a DFT calculation (GGA-PBE) of an optimized crystal structure of Tb2PmHo4Th.

POSCAR file:
```
Tb2PmHo4Th
1.0
5.0531 0.0000 0.0000
0.0000 5.0531 0.0000
0.0000 0.0000 9.9762
Tb Pm Ho Th
2 1 4 1
direct
0.0000 0.0000 0.0000
0.5000 0.5000 0.5000
0.0000 0.0000 0.5000
0.0000 0.5000 0.2463
0.0000 0.5000 0.7537
0.5000 0.0000 0.2463
0.5000 0.0000 0.7537
0.5000 0.5000 0.0000
```

Results
For the spin magnetization, the calculation gives 0.00 Bohr magnetons per cell. The formation energy comes out at 0.03 eV per atom. Its space-group type is No. 123.

---

The following is a DFT calculation (GGA-PBE) of an optimized crystal structure of Ba3LaBi6.

POSCAR file:
```
Ba3LaBi6
1.0
7.0174 4.0515 4.6501
-7.0174 4.0515 4.6501
0.0000 -8.1030 4.6501
Ba La Bi
6 2 12
direct
0.1817 0.7500 0.3183
0.2500 0.6817 0.8183
0.3183 0.1817 0.7500
0.6817 0.8183 0.2500
0.7500 0.3183 0.1817
0.8183 0.2500 0.6817
0.0000 0.0000 0.0000
0.5000 0.5000 0.5000
0.0160 0.0831 0.3679
0.0831 0.3679 0.0160
0.1321 0.4169 0.4840
0.3679 0.0160 0.0831
0.4169 0.4840 0.1321
0.4840 0.1321 0.4169
0.5160 0.8679 0.5831
0.5831 0.5160 0.8679
0.6321 0.9840 0.9169
0.8679 0.5831 0.5160
0.9169 0.6321 0.9840
0.9840 0.9169 0.6321
```

Results
For the spin magnetization, the calculation gives 0.00 Bohr magnetons per cell. The formation energy comes out at -0.60 eV per atom. Its space-group type is No. 167.

---

The following is a DFT calculation (GGA-PBE) of an optimized crystal structure of BaTlHg2Pt.

POSCAR file:
```
BaTlHg2Pt
1.0
5.3716 0.0000 0.0000
0.0000 5.3716 0.0000
0.0000 0.0000 5.3113
Ba Tl Hg Pt
1 1 2 1
direct
0.0000 0.0000 0.0000
0.5000 0.5000 0.0000
0.0000 0.5000 0.5000
0.5000 0.0000 0.5000
0.5000 0.5000 0.5000
```

Results
The energy above the lowest structure with this stoichiometry is 77 meV per atom. For the spin magnetization, the calculation gives 0.00 Bohr magnetons per cell. The formation energy comes out at -0.31 eV per atom. Its space-group type is No. 123.

---

The following is a DFT calculation (GGA-PBE) of an optimized crystal structure of SrFe2CuSe.

POSCAR file:
```
SrFe2CuSe
1.0
4.9964 0.0000 0.0000
0.0000 4.9964 0.0000
0.0000 0.0000 5.5330
Sr Fe Cu Se
1 2 1 1
direct
0.0000 0.0000 0.0000
0.0000 0.5000 0.0000
0.5000 0.0000 0.0000
0.5000 0.5000 0.5000
0.0000 0.0000 0.5000
```

Results
For the spin magnetization, the calculation gives 5.65 Bohr magnetons per cell. The formation energy (no corrections) comes out at 1.838 eV per atom. Its space-group type is No. 123.

---

The following is a DFT calculation (GGA-PBE) of an optimized crystal structure of Mg16Al12Sb.

POSCAR file:
```
Mg16Al12Sb
1.0
5.2727 -7.3913 0.0000
5.2727 7.3913 0.0000
-5.0639 0.0000 7.5700
Mg Al Sb
16 12 1
direct
0.0000 0.0000 0.0000
0.0010 0.0010 0.3436
0.0027 0.5993 0.3185
0.2904 0.6800 0.6829
0.3134 0.9922 0.5979
0.3257 0.6053 0.0040
0.3482 0.9948 0.9921
0.4046 0.7148 0.4017
0.5993 0.0027 0.3185
0.6053 0.3257 0.0040
0.6609 0.6609 0.6694
0.6800 0.2904 0.6829
0.6896 0.6896 0.2909
0.7148 0.4046 0.4017
0.9922 0.3134 0.5979
0.9948 0.3482 0.9921
0.0059 0.6341 0.8182
0.1745 0.1745 0.8245
0.1742 0.3660 0.3493
0.1911 0.8207 0.1890
0.3660 0.1742 0.3493
0.3710 0.3710 0.1768
0.6341 0.0059 0.8182
0.6438 0.8279 0.0111
0.8124 0.9988 0.6322
0.8207 0.1911 0.1890
0.8279 0.6438 0.0111
0.9988 0.8124 0.6322
0.3713 0.3713 0.6938
```

Results
The energy above the lowest structure with this stoichiometry is 0 meV per atom. For the spin magnetization, the calculation gives 0.00 Bohr magnetons per cell. The formation energy (no corrections) comes out at -0.026 eV per atom. Its space-group type is No. 8.

---

The following is a DFT calculation (GGA-PBE) of an optimized crystal structure of Sc2ClF.

POSCAR file:
```
Sc2ClF
1.0
-2.7526 2.7526 5.4342
2.7526 -2.7526 5.4342
2.7526 2.7526 -5.4342
Sc Cl F
4 2 2
direct
0.0733 0.6250 0.9483
0.3750 0.3233 0.4483
0.6767 0.1250 0.0517
0.8750 0.9267 0.5517
0.2500 0.7500 0.5000
0.5000 0.5000 0.0000
0.0000 0.0000 0.0000
0.7500 0.2500 0.5000
```

Results
The energy above the lowest structure with this stoichiometry is 222 meV per atom. For the spin magnetization, the calculation gives 0.00 Bohr magnetons per cell. The formation energy (no corrections) comes out at -1.456 eV per atom. Its space-group type is No. 122.

---

The following is a DFT calculation (GGA-PBE) of an optimized crystal structure of Cr2CdPb.

POSCAR file:
```
Cr2CdPb
1.0
5.4278 -1.6638 0.0000
5.4278 1.6638 0.0000
-2.0560 0.0000 4.3659
Cr Cd Pb
2 1 1
direct
0.0000 0.0000 0.0000
0.6869 0.6869 0.1907
0.2314 0.2314 0.7368
0.4526 0.4526 0.4534
```

Results
For the spin magnetization, the calculation gives 0.15 Bohr magnetons per cell. The formation energy comes out at 0.50 eV per atom. Its space-group type is No. 8.

---

The following is a DFT calculation (GGA-PBE) of an optimized crystal structure of MgFe2Mo.

POSCAR file:
```
MgFe2Mo
1.0
2.6151 0.0000 0.0000
0.0000 4.3090 0.0000
-0.8930 0.0000 4.9905
Mg Fe Mo
1 2 1
direct
0.0000 0.0000 0.0000
0.2941 0.5000 0.7773
0.4566 0.0000 0.5177
0.7268 0.5000 0.3024
```

Results
For the spin magnetization, the calculation gives 4.06 Bohr magnetons per cell. The formation energy comes out at 0.26 eV per atom. Its space-group type is No. 6.

---

The following is a DFT calculation (GGA-PBE) of an optimized crystal structure of CeHoNb.

POSCAR file:
```
CeHoNb
1.0
0.0000 3.8854 6.4350
3.3051 0.0000 6.4350
3.3051 3.8854 0.0000
Ce Ho Nb
2 2 2
direct
0.2010 0.7990 0.2010
0.7990 0.2010 0.7990
0.2500 0.2500 0.2500
0.7500 0.7500 0.7500
0.3942 0.3942 0.6058
0.6058 0.6058 0.3942
```

Results
For the spin magnetization, the calculation gives 0.00 Bohr magnetons per cell. The formation energy comes out at 0.41 eV per atom. Its space-group type is No. 69.

---

The following is a DFT calculation (GGA-PBE) of an optimized crystal structure of GaAgN2O.

POSCAR file:
```
GaAgN2O
1.0
4.0984 0.0000 0.0000
0.0000 4.0984 0.0000
0.0000 0.0000 4.3083
Ga Ag N O
1 1 2 1
direct
0.0000 0.0000 0.0000
0.5000 0.5000 0.5000
0.0000 0.5000 0.5000
0.5000 0.0000 0.5000
0.5000 0.5000 0.0000
```

Results
For the spin magnetization, the calculation gives 3.25 Bohr magnetons per cell. The formation energy (no corrections) comes out at 1.636 eV per atom. Its space-group type is No. 123.

---

The following is a DFT calculation (GGA-PBE) of an optimized crystal structure of Na8GeAu2.

POSCAR file:
```
Na8GeAu2
1.0
8.7686 -2.6139 0.0000
8.7686 2.6139 0.0000
-2.7489 0.0000 6.3765
Na Ge Au
8 1 2
direct
0.0000 0.0000 0.0000
0.0991 0.0991 0.7116
0.3041 0.3041 0.2333
0.3355 0.3355 0.7781
0.5003 0.5003 0.2867
0.6646 0.6646 0.1068
0.6964 0.6964 0.6251
0.9014 0.9014 0.5133
0.4999 0.4999 0.7259
0.1647 0.1647 0.3728
0.8354 0.8354 0.0437
```

Results
For the spin magnetization, the calculation gives 0.00 Bohr magnetons per cell. The formation energy comes out at -0.16 eV per atom. Its space-group type is No. 8.

---

The following is a DFT calculation (GGA-PBE) of an optimized crystal structure of PuTl3Cd3.

POSCAR file:
```
PuTl3Cd3
1.0
8.0572 0.0000 0.0000
0.0000 8.0572 0.0000
0.0000 0.0000 8.0572
Pu Tl Cd
2 6 6
direct
0.0000 0.0000 0.0000
0.5000 0.5000 0.5000
0.0000 0.2500 0.5000
0.0000 0.7500 0.5000
0.2500 0.5000 0.0000
0.5000 0.0000 0.2500
0.5000 0.0000 0.7500
0.7500 0.5000 0.0000
0.0000 0.5000 0.2500
0.0000 0.5000 0.7500
0.2500 0.0000 0.5000
0.5000 0.2500 0.0000
0.5000 0.7500 0.0000
0.7500 0.0000 0.5000
```

Results
For the spin magnetization, the calculation gives 12.25 Bohr magnetons per cell. The formation energy comes out at 0.51 eV per atom. Its space-group type is No. 223.

---

The following is a DFT calculation (GGA-PBE) of an optimized crystal structure of Re4SiP.

POSCAR file:
```
Re4SiP
1.0
0.0000 3.6525 3.6525
3.6525 0.0000 3.6525
3.6525 3.6525 0.0000
Re Si P
4 1 1
direct
0.1246 0.1246 0.1246
0.1246 0.1246 0.6263
0.1246 0.6263 0.1246
0.6263 0.1246 0.1246
0.5000 0.5000 0.5000
0.7500 0.7500 0.7500
```

Results
For the spin magnetization, the calculation gives 0.00 Bohr magnetons per cell. The formation energy (no corrections) comes out at 0.922 eV per atom. Its space-group type is No. 216.

---

The following is a DFT calculation (GGA-PBE) of an optimized crystal structure of Ag2TeAu.

POSCAR file:
```
Ag2TeAu
1.0
1.5788 0.9115 9.7153
-1.5788 0.9115 9.7153
0.0000 -1.8230 9.7153
Ag Te Au
2 1 1
direct
0.2427 0.2427 0.2427
0.7573 0.7573 0.7573
0.0000 0.0000 0.0000
0.5000 0.5000 0.5000
```

Results
For the spin magnetization, the calculation gives 0.00 Bohr magnetons per cell. The formation energy (no corrections) comes out at 0.167 eV per atom. Its space-group type is No. 166.

---

The following is a DFT calculation (GGA-PBE) of an optimized crystal structure of TaTi2Ga2.

POSCAR file:
```
TaTi2Ga2
1.0
7.0648 0.0000 0.0000
0.0000 7.0648 0.0000
0.0000 0.0000 3.2921
Ta Ti Ga
2 4 4
direct
0.0000 0.0000 0.0000
0.5000 0.5000 0.0000
0.1764 0.3236 0.5000
0.3236 0.8236 0.5000
0.6764 0.1764 0.5000
0.8236 0.6764 0.5000
0.1255 0.6255 0.0000
0.3745 0.1255 0.0000
0.6255 0.8745 0.0000
0.8745 0.3745 0.0000
```

Results
The energy above the lowest structure with this stoichiometry is 0 meV per atom. For the spin magnetization, the calculation gives 0.00 Bohr magnetons per cell. The formation energy comes out at -0.36 eV per atom. Its space-group type is No. 127.